Entry 1:
A geometry-optimized KMgSc2 structure, computed with PBE.

Output
- Space-group type: No. 99
- ΔH_f (0 K): 0.224 eV/atom

Unit cell a=3.411 b=3.411 c=10.602 alpha=90.00 beta=90.00 gamma=90.00
Fractional coordinates of all 4 atoms:
K  0.000  0.000  0.000
Mg  0.500  0.500  0.293
Sc  0.000  0.000  0.488
Sc  0.500  0.500  0.683

Entry 2:
A geometry-optimized GeSbIr2Os structure, computed with PBE.

Output
- Space-group type: No. 123
- Formation energy without anion corrections: 2.26 eV/atom

Unit cell a=4.836 b=4.836 c=5.021 alpha=90.00 beta=90.00 gamma=90.00
Fractional coordinates of all 5 atoms:
Ge  0.000  0.000  0.000
Sb  0.000  0.000  0.500
Ir  0.000  0.500  0.500
Ir  0.500  0.000  0.500
Os  0.500  0.500  0.000

Entry 3:
A geometry-optimized CaLaCd2 structure, computed with PBE.

Output
- Space-group type: No. 225
- ΔH_f (0 K): -0.380 eV/atom

Unit cell a=5.497 b=5.497 c=5.497 alpha=60.00 beta=60.00 gamma=60.00
Fractional coordinates of all 4 atoms:
Ca  0.000  0.000  0.000
La  0.500  0.500  0.500
Cd  0.250  0.250  0.250
Cd  0.750  0.750  0.750

Entry 4:
A geometry-optimized GdMgSc2 structure, computed with PBE.

Output
- Space-group type: No. 123
- ΔH_f (0 K): 0.040 eV/atom

Unit cell a=4.672 b=4.672 c=4.793 alpha=90.00 beta=90.00 gamma=90.00
Fractional coordinates of all 4 atoms:
Gd  0.000  0.000  0.000
Mg  0.500  0.500  0.000
Sc  0.000  0.500  0.500
Sc  0.500  0.000  0.500

Entry 5:
A geometry-optimized Rb3U3CoSe8 structure, computed with PBE.

Output
- Space-group type: No. 166
- Formation energy without anion corrections: -1.03 eV/atom

Unit cell a=9.474 b=9.474 c=9.474 alpha=51.03 beta=51.03 gamma=51.03
Fractional coordinates of all 15 atoms:
Rb  0.000  0.500  0.500
Rb  0.500  0.000  0.500
Rb  0.500  0.500  0.000
U  0.000  0.000  0.500
U  0.000  0.500  0.000
U  0.500  0.000  0.000
Co  0.500  0.500  0.500
Se  0.234  0.234  0.234
Se  0.240  0.722  0.722
Se  0.278  0.278  0.760
Se  0.278  0.760  0.278
Se  0.722  0.240  0.722
Se  0.722  0.722  0.240
Se  0.760  0.278  0.278
Se  0.766  0.766  0.766

Entry 6:
A geometry-optimized GeSbMoW structure, computed with PBE.

Output
- Space-group type: No. 156
- Formation energy without anion corrections: 0.37 eV/atom

Unit cell a=4.350 b=4.350 c=5.452 alpha=90.00 beta=90.00 gamma=120.00
Fractional coordinates of all 4 atoms:
Ge  0.000  0.000  0.000
Sb  0.667  0.333  0.466
Mo  0.333  0.667  0.789
W  0.667  0.333  0.961

Entry 7:
A geometry-optimized CrIn2As structure, computed with PBE.

Output
- Space-group type: No. 71
- ΔH_f (0 K): 0.321 eV/atom

Unit cell a=5.587 b=5.587 c=5.587 alpha=139.71 beta=130.34 gamma=65.79
Fractional coordinates of all 4 atoms:
Cr  0.000  0.000  0.000
In  0.256  0.756  0.500
In  0.744  0.244  0.500
As  0.500  0.500  0.000

Entry 8:
A geometry-optimized K2Y2Co structure, computed with PBE.

Output
- Space-group type: No. 139
- ΔH_f (0 K): 1.088 eV/atom

Unit cell a=11.498 b=11.498 c=11.498 alpha=157.66 beta=157.66 gamma=31.80
Fractional coordinates of all 5 atoms:
K  0.086  0.086  0.000
K  0.914  0.914  0.000
Y  0.250  0.750  0.500
Y  0.750  0.250  0.500
Co  0.500  0.500  0.000

| no. | Fermi-level density of states (states/eV per atom) |
| --- | --- |
| 1 | 1.15 |
| 2 | 1.36 |
| 3 | 1.07 |
| 4 | 1.38 |
| 5 | 1.28 |
| 6 | 0.32 |
| 7 | 0.58 |
| 8 | 2.22 |